No. 1
A plane-wave DFT calculation with PBE-GGA was carried out for a geometry-optimized TiTe2IrI structure.

Cell lengths 5.240, 5.240, 5.310 Å; angles 90.00, 90.00, 90.00 degrees
Space group P4/mmm (No. 123)
Inequivalent atoms, fractional coordinates:
Ti (0.000, 0.000, 0.000) (multiplicity 1)
Te (0.000, 0.500, 0.500) (multiplicity 2)
Ir (0.500, 0.500, 0.500) (multiplicity 1)
I (0.500, 0.500, 0.000) (multiplicity 1)

Values from the calculation:
Calculated volume ... 145.8 Å³/cell
Offset from the most stable computed form ... 0 meV/atom
Crystal system ... tetragonal
Raw formation energy ... 0.7304 eV/atom

=====

No. 2
A plane-wave DFT calculation with PBE-GGA was carried out for a geometry-optimized LaCuSn structure.

Cell lengths 4.795, 4.581, 7.325 Å; angles 90.00, 107.59, 90.00 degrees
Space group P2 (No. 3)
Inequivalent atoms, fractional coordinates:
La (0.137, 0.000, 0.269) (multiplicity 2)
Cu (0.251, 0.499, 0.002) (multiplicity 2)
Sn (0.325, 0.500, 0.649) (multiplicity 2)

Values from the calculation:
Calculated volume ... 153.4 Å³/cell
DFT formation energy ... -0.431 eV/atom
Crystal system ... monoclinic

=====

no.,total energy (eV/cell)
1,-20.94
2,-28.64